The following is a DFT calculation (GGA-PBE) of RbMn4I12 after structural relaxation.

Cell and atoms, written as CIF:
```
data_RbMn4I12
_cell_length_a 9.286
_cell_length_b 9.286
_cell_length_c 9.286
_cell_angle_alpha 109.47
_cell_angle_beta 109.47
_cell_angle_gamma 109.47
_space_group_name_H-M_alt 'P 1'
_space_group_IT_number 1
_space_group_name_Hall 'P 1'
loop_
_atom_site_label
_atom_site_type_symbol
_atom_site_fract_x
_atom_site_fract_y
_atom_site_fract_z
_atom_site_occupancy
Mn1 Mn 0.500 0.000 0.000 1
Mn2 Mn 0.000 0.000 0.500 1
Mn3 Mn 0.000 0.500 0.000 1
Mn4 Mn 0.500 0.500 0.500 1
I1 I 0.810 0.695 0.506 1
I2 I 0.190 0.695 0.885 1
I3 I 0.506 0.810 0.695 1
I4 I 0.305 0.494 0.190 1
I5 I 0.115 0.810 0.305 1
I6 I 0.494 0.190 0.305 1
I7 I 0.810 0.305 0.115 1
I8 I 0.695 0.506 0.810 1
I9 I 0.885 0.190 0.695 1
I10 I 0.305 0.115 0.810 1
I11 I 0.190 0.305 0.494 1
I12 I 0.695 0.885 0.190 1
Rb1 Rb 0.000 0.000 0.000 1
```

## Properties
Raw formation energy ... -0.409 eV per atom
Total energy ... -3.718 eV/atom
D(E_F) ... 5.96 states/eV/cell
SG ... Im-3, No. 204
ρ ... 4.9 g/cm³